Entry from Alexandria: a geometry-optimized SmInN structure (PBE).

Cell: 3.4815 6.7133 5.8747 Å, 90.00 106.80 90.00°
With the nearest neighbours (Å) after each atom.
Sites, in units of the cell vectors:
Sm (0.0000, 0.0000, 0.0000)  4 N 2.46
Sm (0.0000, 0.5000, 0.0000)  4 N 2.46
In (0.2707, 0.2500, 0.5252)  1 N 2.22
In (0.7293, 0.7500, 0.4748)  1 N 2.22
N (0.4611, 0.2500, 0.9193)  1 In 2.22, 4 Sm 2.46
N (0.5389, 0.7500, 0.0807)  1 In 2.22, 4 Sm 2.46

- M_tot (μB per formula unit) = 0.000
- formation energy from raw total energies (eV/atom) = -0.6877